[1]
Entry from Alexandria: Na4Cd4Rh after structural relaxation (PBE-GGA).

a b c (Å): 7.771 7.771 7.771
angles (deg): 133.90 133.90 67.24
Positions (direct):
Na 0.110 0.709 0.000
Na 0.291 0.291 0.401
Na 0.709 0.110 0.000
Na 0.890 0.890 0.599
Cd 0.143 0.143 0.622
Cd 0.479 0.857 0.000
Cd 0.521 0.521 0.378
Cd 0.857 0.479 0.000
Rh 0.500 0.500 0.000

Values from the calculation:
As for the magnetization: 0.000 μB/atom. Its space-group type is I-42m (121). The formation energy from the elements comes out at 0.06 eV/atom. The value obtained for the uncorrected energy is -1.75 eV per atom.



[2]
Entry from Alexandria: LiTcGe4 after structural relaxation (PBE-GGA).

a b c (Å): 6.793 6.793 6.793
angles (deg): 124.92 124.92 81.67
Positions (direct):
Li 0.000 0.000 0.000
Li 0.500 0.500 0.000
Tc 0.250 0.250 0.000
Tc 0.750 0.750 0.000
Ge 0.007 0.507 0.804
Ge 0.203 0.007 0.500
Ge 0.297 0.797 0.804
Ge 0.493 0.297 0.500
Ge 0.507 0.703 0.500
Ge 0.703 0.203 0.196
Ge 0.797 0.993 0.500
Ge 0.993 0.493 0.196

Values from the calculation:
As for the magnetization: 0.000 μB/atom. Its space-group type is I4/mcm (140). The formation energy from the elements comes out at -0.13 eV/atom. The value obtained for the uncorrected energy is -5.26 eV per atom.



[3]
Entry from Alexandria: LiZrBi2 after structural relaxation (PBE-GGA).

a b c (Å): 7.240 7.240 7.240
angles (deg): 34.66 34.66 34.66
Positions (direct):
Li 0.000 0.000 0.000
Zr 0.171 0.171 0.171
Bi 0.587 0.587 0.587
Bi 0.754 0.754 0.754

Values from the calculation:
As for the magnetization: 0.000 μB/atom. The energy above the most stable polymorph in this dataset comes out at 33 meV/atom. Its space-group type is R3m (160). The formation energy from the elements comes out at -0.25 eV/atom. The value obtained for the uncorrected energy is -4.81 eV per atom.



[4]
Entry from Alexandria: LiY2Pb2 after structural relaxation (PBE-GGA).

a b c (Å): 7.657 7.657 4.664
angles (deg): 90.00 90.00 90.00
Positions (direct):
Li 0.000 0.000 0.000
Li 0.500 0.500 0.000
Y 0.169 0.331 0.500
Y 0.331 0.831 0.500
Y 0.669 0.169 0.500
Y 0.831 0.669 0.500
Pb 0.141 0.641 0.000
Pb 0.359 0.141 0.000
Pb 0.641 0.859 0.000
Pb 0.859 0.359 0.000

Values from the calculation:
As for the magnetization: 0.000 μB/atom. The energy above the most stable polymorph in this dataset comes out at 0 meV/atom. Its space-group type is P4/mbm (127). The formation energy from the elements comes out at -0.45 eV/atom. The value obtained for the uncorrected energy is -4.91 eV per atom.



[5]
Entry from Alexandria: Y14ThMg after structural relaxation (PBE-GGA).

a b c (Å): 7.102 7.102 10.087
angles (deg): 90.00 90.00 90.04
Positions (direct):
Y 0.000 0.000 0.000
Y 0.000 0.500 0.000
Y 0.000 0.500 0.500
Y 0.247 0.247 0.253
Y 0.247 0.247 0.747
Y 0.247 0.753 0.253
Y 0.247 0.753 0.747
Y 0.500 0.000 0.000
Y 0.500 0.000 0.500
Y 0.500 0.500 0.000
Y 0.753 0.247 0.253
Y 0.753 0.247 0.747
Y 0.753 0.753 0.253
Y 0.753 0.753 0.747
Th 0.000 0.000 0.500
Mg 0.500 0.500 0.500

Values from the calculation:
As for the magnetization: 0.000 μB/atom. Its space-group type is Cmmm (65). The formation energy from the elements comes out at 0.02 eV/atom. The value obtained for the uncorrected energy is -6.20 eV per atom.



[6]
Entry from Alexandria: TaMnTc2Ni after structural relaxation (PBE-GGA).

a b c (Å): 4.365 4.365 4.222
angles (deg): 90.00 90.00 90.00
Positions (direct):
Ta 0.000 0.000 0.000
Mn 0.500 0.500 0.500
Tc 0.000 0.500 0.500
Tc 0.500 0.000 0.500
Ni 0.500 0.500 0.000

Values from the calculation:
As for the magnetization: 0.252 μB/atom. Its space-group type is P4/mmm (123). The formation energy from the elements comes out at 0.98 eV/atom. The value obtained for the uncorrected energy is -8.53 eV per atom.



[7]
Entry from Alexandria: CaPr5Sm6 after structural relaxation (PBE-GGA).

a b c (Å): 8.237 8.237 6.378
angles (deg): 97.41 97.41 84.27
Positions (direct):
Ca 0.000 0.000 0.000
Pr 0.170 0.830 0.500
Pr 0.337 0.663 0.000
Pr 0.500 0.500 0.500
Pr 0.663 0.337 0.000
Pr 0.830 0.170 0.500
Sm 0.084 0.423 0.254
Sm 0.252 0.252 0.745
Sm 0.423 0.084 0.254
Sm 0.577 0.916 0.746
Sm 0.748 0.748 0.255
Sm 0.916 0.577 0.746

Values from the calculation:
As for the magnetization: 0.000 μB/atom. Its space-group type is C2/m (12). The formation energy from the elements comes out at 0.03 eV/atom. The value obtained for the uncorrected energy is -4.49 eV per atom.



[8]
Entry from Alexandria: Tb5Ta2S12 after structural relaxation (PBE-GGA).

a b c (Å): 8.347 8.347 8.775
angles (deg): 105.45 105.45 49.42
Positions (direct):
Tb 0.000 0.000 0.000
Tb 0.296 0.296 0.141
Tb 0.314 0.314 0.670
Tb 0.686 0.686 0.330
Tb 0.704 0.704 0.859
Ta 0.248 0.752 0.500
Ta 0.752 0.248 0.500
S 0.006 0.006 0.310
S 0.090 0.574 0.412
S 0.103 0.600 0.932
S 0.400 0.897 0.068
S 0.426 0.910 0.588
S 0.496 0.496 0.293
S 0.504 0.504 0.707
S 0.574 0.090 0.412
S 0.600 0.103 0.932
S 0.897 0.400 0.068
S 0.910 0.426 0.588
S 0.994 0.994 0.690

Values from the calculation:
As for the magnetization: 0.000 μB/atom. Its energy relative to the elements, uncorrected is -1.680 eV/atom. Its space-group type is C2/m (12). The value obtained for the uncorrected energy is -6.75 eV per atom.



[9]
Entry from Alexandria: AcLa2Tb5Pm after structural relaxation (PBE-GGA).

a b c (Å): 10.166 10.166 10.166
angles (deg): 128.45 128.45 75.90
Positions (direct):
Ac 0.250 0.250 0.000
Ac 0.750 0.750 0.000
La 0.118 0.618 0.735
La 0.382 0.118 0.500
La 0.618 0.882 0.500
La 0.882 0.382 0.265
Tb 0.000 0.000 0.000
Tb 0.075 0.154 0.500
Tb 0.154 0.654 0.079
Tb 0.346 0.425 0.500
Tb 0.425 0.925 0.079
Tb 0.500 0.500 0.000
Tb 0.575 0.075 0.921
Tb 0.654 0.575 0.500
Tb 0.846 0.346 0.921
Tb 0.925 0.846 0.500
Pm 0.250 0.750 0.500
Pm 0.750 0.250 0.500

Values from the calculation:
As for the magnetization: 0.000 μB/atom. Its space-group type is I4/mcm (140). The formation energy from the elements comes out at 0.24 eV/atom. The value obtained for the uncorrected energy is -4.42 eV per atom.



[10]
Entry from Alexandria: AlAsRh after structural relaxation (PBE-GGA).

a b c (Å): 5.917 5.917 5.917
angles (deg): 151.34 151.34 40.98
Positions (direct):
Al 0.000 0.000 0.000
As 0.297 0.297 0.000
Rh 0.638 0.638 0.000

Values from the calculation:
As for the magnetization: 0.000 μB/atom. Its space-group type is I4mm (107). The formation energy from the elements comes out at -0.36 eV/atom. The value obtained for the uncorrected energy is -5.61 eV per atom.



[11]
Entry from Alexandria: CuPO4 after structural relaxation (PBE-GGA).

a b c (Å): 4.767 8.663 7.789
angles (deg): 90.00 116.71 90.00
Positions (direct):
Cu 0.000 0.000 0.000
Cu 0.000 0.500 0.500
Cu 0.500 0.000 0.500
Cu 0.500 0.500 0.000
P 0.133 0.176 0.684
P 0.133 0.324 0.184
P 0.867 0.676 0.816
P 0.867 0.824 0.316
O 0.130 0.144 0.205
O 0.130 0.356 0.705
O 0.175 0.626 0.989
O 0.175 0.874 0.489
O 0.203 0.107 0.882
O 0.203 0.393 0.382
O 0.429 0.142 0.654
O 0.429 0.358 0.154
O 0.571 0.642 0.846
O 0.571 0.858 0.346
O 0.797 0.607 0.618
O 0.797 0.893 0.118
O 0.825 0.126 0.511
O 0.825 0.374 0.011
O 0.870 0.644 0.295
O 0.870 0.856 0.795

Values from the calculation:
As for the magnetization: 0.000 μB/atom. Its energy relative to the elements, uncorrected is -1.404 eV/atom. Its space-group type is P2_1/c (14). The value obtained for the uncorrected energy is -6.29 eV per atom.



[12]
Entry from Alexandria: Ce5Sb2RuN after structural relaxation (PBE-GGA).

a b c (Å): 4.610 4.610 11.254
angles (deg): 90.00 90.00 90.00
Positions (direct):
Ce 0.000 0.000 0.000
Ce 0.000 0.500 0.500
Ce 0.500 0.000 0.500
Ce 0.500 0.500 0.225
Ce 0.500 0.500 0.775
Sb 0.000 0.000 0.288
Sb 0.000 0.000 0.712
Ru 0.500 0.500 0.000
N 0.500 0.500 0.500

Values from the calculation:
As for the magnetization: 0.478 μB/atom. Its energy relative to the elements, uncorrected is -0.782 eV/atom. Its space-group type is P4/mmm (123). The value obtained for the uncorrected energy is -6.95 eV per atom.



no.,calculated density (Mg/m³)
1,4.5
2,6.5
3,7.8
4,7.3
5,4.9
6,10.1
7,6.4
8,5.8
9,7.7
10,7.2
11,3.7
12,7.4